DFT (PBE+U) results for an optimized crystal structure of Ba2Co2O5.

Lattice parameters (Å, degrees): 17.864 5.658 5.561 90.00 90.00 90.00
Space group Ima2 (No. 46)
Symmetry-distinct sites (fractional):
Ba (0.112, 0.004, 0.000) [8 per cell]
Co (0.000, 0.000, 0.499) [4 per cell]
Co (0.250, 0.572, 0.967) [4 per cell]
O (0.002, 0.749, 0.748) [8 per cell]
O (0.155, 0.016, 0.505) [8 per cell]
O (0.250, 0.635, 0.629) [4 per cell]

Properties
mass density = 5.6 Mg/m³
total DFT energy (no corrections) = -54.41 eV/f.u.